## NdAgOsO6 (PBE)

Data for NdAgOsO6 after structural relaxation.

Properties
VASP energy   -6.76 eV per atom
Raw formation energy   -1.359 eV per atom

Lattice parameters (Å, degrees): 5.6974 5.6974 4.7448 90.14 90.14 120.14
With the nearest neighbours (Å) after each atom.
Fractional coordinates of all 9 atoms:
Nd1 0.0000 0.0000 0.0000  6 O 2.34
Ag1 0.6669 0.3331 0.5000  6 O 2.46-2.49
Os1 0.3330 0.6670 0.0000  6 O 1.89
O1 0.0614 0.6704 0.7735  1 Os 1.89
O2 0.0626 0.3925 0.2256  1 Os 1.89
O3 0.3277 0.3916 0.7733  1 Os 1.89
O4 0.3296 0.9386 0.2265  1 Os 1.89
O5 0.6075 0.9374 0.7744  1 Os 1.89
O6 0.6084 0.6723 0.2267  1 Os 1.89

***

## NdPaAgO6 (PBE)

Data for NdPaAgO6 after structural relaxation.

Properties
VASP energy   -7.32 eV per atom
Raw formation energy   -2.111 eV per atom

Lattice parameters (Å, degrees): 5.5874 5.5874 4.9594 90.00 90.00 120.00
With the nearest neighbours (Å) after each atom.
Fractional coordinates of all 9 atoms:
Nd1 0.0000 0.0000 0.0000  6 O 2.37
Pa1 0.6667 0.3333 0.5000  6 O 2.16
Ag1 0.3333 0.6667 0.0000  6 O 2.19
O1 0.3648 0.0051 0.2481  1 Pa 2.16, 1 Ag 2.19, 1 Nd 2.37
O2 0.3648 0.3597 0.7519  1 Pa 2.16, 1 Ag 2.19, 1 Nd 2.37
O3 0.6403 0.0051 0.7519  1 Pa 2.16, 1 Ag 2.19, 1 Nd 2.37
O4 0.6403 0.6352 0.2481  1 Pa 2.16, 1 Ag 2.19, 1 Nd 2.37
O5 0.9949 0.3597 0.2481  1 Pa 2.16, 1 Ag 2.19, 1 Nd 2.37
O6 0.9949 0.6352 0.7519  1 Pa 2.16, 1 Ag 2.19, 1 Nd 2.37

***

## Nd2AgPbO5 (PBE)

Data for Nd2AgPbO5 after structural relaxation.

Properties
VASP energy   -6.34 eV per atom
Raw formation energy   -1.800 eV per atom

Lattice parameters (Å, degrees): 6.8375 6.8375 6.4292 90.00 90.00 90.00
With the nearest neighbours (Å) after each atom.
Fractional coordinates of all 18 atoms:
Nd1 0.1749 0.3251 0.0000  4 O 2.30-2.52
Nd2 0.3251 0.8251 0.0000  4 O 2.30-2.52
Nd3 0.6749 0.1749 0.0000  4 O 2.30-2.52
Nd4 0.8251 0.6749 0.0000  4 O 2.30-2.52
Ag1 0.0000 0.0000 0.5000  10 O 3.15-3.21, 4 Pb 3.42
Ag2 0.5000 0.5000 0.5000  10 O 3.15-3.21, 4 Pb 3.42
Pb1 0.0000 0.5000 0.5000  4 O 2.21
Pb2 0.5000 0.0000 0.5000  4 O 2.21
O1 0.0000 0.0000 0.0000  4 Nd 2.52
O2 0.1427 0.6427 0.2305  1 Pb 2.21, 1 Nd 2.30
O3 0.1427 0.6427 0.7695  1 Pb 2.21, 1 Nd 2.30
O4 0.3573 0.1427 0.2305  1 Pb 2.21, 1 Nd 2.30
O5 0.3573 0.1427 0.7695  1 Pb 2.21, 1 Nd 2.30
O6 0.5000 0.5000 0.0000  4 Nd 2.52
O7 0.6427 0.8573 0.2305  1 Pb 2.21, 1 Nd 2.30
O8 0.6427 0.8573 0.7695  1 Pb 2.21, 1 Nd 2.30
O9 0.8573 0.3573 0.2305  1 Pb 2.21, 1 Nd 2.30
O10 0.8573 0.3573 0.7695  1 Pb 2.21, 1 Nd 2.30

***

## NdAgPtO4 (PBE)

Data for NdAgPtO4 after structural relaxation.

Properties
VASP energy   -6.12 eV per atom
Raw formation energy   -1.336 eV per atom

Lattice parameters (Å, degrees): 6.6959 6.6959 6.6959 122.41 113.23 94.00
With the nearest neighbours (Å) after each atom.
Fractional coordinates of all 14 atoms:
Nd1 0.0000 0.0000 0.0000  6 O 2.35-2.42
Nd2 0.5000 0.0000 0.5000  6 O 2.35-2.42
Ag1 0.3784 0.6284 0.7500  2 O 2.25
Ag2 0.6216 0.3716 0.2500  2 O 2.25
Pt1 0.0000 0.0000 0.5000  6 O 2.08-2.09
Pt2 0.0000 0.5000 0.0000  6 O 2.08-2.09
O1 0.1711 0.7414 0.4298  2 Pt 2.09
O2 0.1884 0.2586 0.9298  2 Pt 2.09
O3 0.2268 0.2016 0.4748  1 Pt 2.08, 1 Ag 2.25
O4 0.2268 0.7520 0.0252  1 Pt 2.08, 1 Ag 2.25
O5 0.7732 0.2480 0.9748  1 Pt 2.08, 1 Ag 2.25
O6 0.7732 0.7984 0.5252  1 Pt 2.08, 1 Ag 2.25
O7 0.8116 0.7414 0.0702  2 Pt 2.09
O8 0.8289 0.2586 0.5702  2 Pt 2.09

***

## Nd2AgPtO6 (PBE)

Data for Nd2AgPtO6 after structural relaxation.

Properties
VASP energy   -6.62 eV per atom
Raw formation energy   -1.806 eV per atom

Lattice parameters (Å, degrees): 5.9317 5.9317 5.9317 59.11 59.11 59.11
With the nearest neighbours (Å) after each atom.
Fractional coordinates of all 10 atoms:
Nd1 0.0000 0.0000 0.0000  6 O 2.36-2.47
Nd2 0.4920 0.4920 0.4920  6 O 2.33-2.49
Ag1 0.2640 0.2640 0.2640  6 O 2.27-2.50
Pt1 0.7823 0.7823 0.7823  6 O 2.03-2.05
O1 0.0370 0.4370 0.6624  1 Pt 2.05
O2 0.1301 0.8877 0.5913  1 Pt 2.03, 1 Ag 2.27
O3 0.4370 0.6624 0.0370  1 Pt 2.05
O4 0.5913 0.1301 0.8877  1 Pt 2.03, 1 Ag 2.27
O5 0.6624 0.0370 0.4370  1 Pt 2.05
O6 0.8877 0.5913 0.1301  1 Pt 2.03, 1 Ag 2.27

***

## Nd3Ag3PtO8 (PBE)

Data for Nd3Ag3PtO8 after structural relaxation.

Properties
VASP energy   -6.21 eV per atom
Raw formation energy   -1.634 eV per atom

Lattice parameters (Å, degrees): 6.9355 6.9355 6.9462 118.63 118.63 61.45
With the nearest neighbours (Å) after each atom.
Fractional coordinates of all 15 atoms:
Nd1 0.0000 0.0000 0.0000  6 O 2.31-2.45
Nd2 0.0000 0.5000 0.5000  6 O 2.31-2.45
Nd3 0.5000 0.0000 0.5000  6 O 2.31-2.45
Ag1 0.0000 0.5000 0.0000  6 O 2.57-2.68
Ag2 0.5000 0.0000 0.0000  6 O 2.57-2.68
Ag3 0.5000 0.5000 0.5000  6 O 2.58-2.67
Pt1 0.5000 0.5000 0.0000  6 O 2.10
O1 0.2310 0.2310 0.2697  3 Nd 2.31
O2 0.2743 0.7115 0.7893  1 Pt 2.10
O3 0.2886 0.2886 0.7735  1 Pt 2.10
O4 0.2885 0.7257 0.2107  1 Pt 2.10
O5 0.7115 0.2743 0.7893  1 Pt 2.10
O6 0.7114 0.7114 0.2265  1 Pt 2.10
O7 0.7257 0.2885 0.2107  1 Pt 2.10
O8 0.7690 0.7690 0.7303  3 Nd 2.31

***

## Nd2PuAgO8 (PBE)

Data for Nd2PuAgO8 after structural relaxation.

Properties
VASP energy   -7.79 eV per atom
Raw formation energy   -2.254 eV per atom

Lattice parameters (Å, degrees): 4.3570 5.3871 7.6596 81.43 86.60 81.39
With the nearest neighbours (Å) after each atom.
Fractional coordinates of all 12 atoms:
Nd1 0.0237 0.0525 0.2348  5 O 2.29-2.56
Nd2 0.9763 0.9475 0.7652  5 O 2.29-2.56
Pu1 0.5000 0.5000 0.5000  4 O 1.89-1.96
Ag1 0.5000 0.5000 0.0000  4 O 2.00-2.07
O1 0.0997 0.7189 0.5095  1 Pu 1.96
O2 0.1332 0.7603 0.0401  1 Ag 2.00
O3 0.4046 0.2315 0.6739  1 Pu 1.89
O4 0.4565 0.2987 0.2503  1 Ag 2.07
O5 0.5435 0.7013 0.7497  1 Ag 2.07
O6 0.5954 0.7685 0.3261  1 Pu 1.89
O7 0.8668 0.2397 0.9599  1 Ag 2.00
O8 0.9003 0.2811 0.4905  1 Pu 1.96

***

## NdPu2AgO8 (PBE)

Data for NdPu2AgO8 after structural relaxation.

Properties
VASP energy   -8.56 eV per atom
Raw formation energy   -2.230 eV per atom

Lattice parameters (Å, degrees): 6.5170 6.5170 6.5170 130.47 130.47 72.66
With the nearest neighbours (Å) after each atom.
Fractional coordinates of all 12 atoms:
Nd1 0.0000 0.0000 0.0000  8 O 2.42
Pu1 0.2500 0.7500 0.5000  8 O 2.24
Pu2 0.5000 0.5000 0.0000  8 O 2.25
Ag1 0.7500 0.2500 0.5000  8 O 2.44
O1 0.1551 0.1229 0.5270  2 Pu 2.24-2.25, 1 O 2.41, 1 Nd 2.42, 1 Ag 2.44
O2 0.1551 0.6281 0.0322  2 Pu 2.24-2.25, 1 O 2.41, 1 Nd 2.42, 1 Ag 2.44
O3 0.3719 0.4041 0.5270  2 Pu 2.24-2.25, 1 O 2.41, 1 Nd 2.42, 1 Ag 2.44
O4 0.3719 0.8449 0.9678  2 Pu 2.24-2.25, 1 O 2.41, 1 Nd 2.42, 1 Ag 2.44
O5 0.5959 0.1229 0.9678  2 Pu 2.24-2.25, 1 O 2.41, 1 Nd 2.42, 1 Ag 2.44
O6 0.5959 0.6281 0.4730  2 Pu 2.24-2.25, 1 O 2.41, 1 Nd 2.42, 1 Ag 2.44
O7 0.8771 0.4041 0.0322  2 Pu 2.24-2.25, 1 O 2.41, 1 Nd 2.42, 1 Ag 2.44
O8 0.8771 0.8449 0.4730  2 Pu 2.24-2.25, 1 O 2.41, 1 Nd 2.42, 1 Ag 2.44

***

## RbNdAgO2 (PBE)

Data for RbNdAgO2 after structural relaxation.

Properties
VASP energy   -5.24 eV per atom
Raw formation energy   -1.541 eV per atom

Lattice parameters (Å, degrees): 6.9279 5.5890 6.8940 90.00 93.14 90.00
With the nearest neighbours (Å) after each atom.
Fractional coordinates of all 10 atoms:
Rb1 0.0000 0.2414 0.2500  2 O 2.89
Rb2 0.0000 0.7586 0.7500  2 O 2.89
Nd1 0.5000 0.0149 0.7500  4 O 2.30-2.32
Nd2 0.5000 0.9851 0.2500  4 O 2.30-2.32
Ag1 0.5000 0.5000 0.0000  2 O 2.45
Ag2 0.5000 0.5000 0.5000  2 O 2.45
O1 0.3061 0.1326 0.9961  2 Nd 2.30-2.32, 1 Ag 2.45
O2 0.3061 0.8674 0.4961  2 Nd 2.30-2.32, 1 Ag 2.45
O3 0.6939 0.1326 0.5039  2 Nd 2.30-2.32, 1 Ag 2.45
O4 0.6939 0.8674 0.0039  2 Nd 2.30-2.32, 1 Ag 2.45

***

## RbNd2AgO5 (PBE)

Data for RbNd2AgO5 after structural relaxation.

Properties
VASP energy   -6.22 eV per atom
Raw formation energy   -1.983 eV per atom

Lattice parameters (Å, degrees): 7.9247 7.9247 7.9247 128.67 128.67 75.54
With the nearest neighbours (Å) after each atom.
Fractional coordinates of all 18 atoms:
Rb1 0.2500 0.2500 0.0000  10 O 3.13-3.17, 4 Ag 3.43
Rb2 0.7500 0.7500 0.0000  10 O 3.13-3.17, 4 Ag 3.43
Nd1 0.1729 0.6729 0.8458  8 O 2.35-2.56
Nd2 0.3271 0.1729 0.5000  8 O 2.35-2.56
Nd3 0.6729 0.8271 0.5000  8 O 2.35-2.56
Nd4 0.8271 0.3271 0.1542  8 O 2.35-2.56
Ag1 0.2500 0.7500 0.5000  4 O 2.15
Ag2 0.7500 0.2500 0.5000  4 O 2.15
O1 0.0000 0.0000 0.0000  4 Nd 2.54
O2 0.0205 0.2511 0.5000  1 Ag 2.15, 1 Nd 2.35
O3 0.2489 0.4795 0.5000  1 Ag 2.15, 1 Nd 2.35
O4 0.2511 0.7511 0.2305  1 Ag 2.15, 1 Nd 2.35
O5 0.4795 0.9795 0.2305  1 Ag 2.15, 1 Nd 2.35
O6 0.5000 0.5000 0.0000  4 Nd 2.54
O7 0.5205 0.0205 0.7695  1 Ag 2.15, 1 Nd 2.35
O8 0.7489 0.2489 0.7695  1 Ag 2.15, 1 Nd 2.35
O9 0.7511 0.5205 0.5000  1 Ag 2.15, 1 Nd 2.35
O10 0.9795 0.7489 0.5000  1 Ag 2.15, 1 Nd 2.35

***

## NdReAgO6 (PBE)

Data for NdReAgO6 after structural relaxation.

Properties
VASP energy   -7.15 eV per atom
Raw formation energy   -1.617 eV per atom

Lattice parameters (Å, degrees): 4.5007 5.3485 5.6656 115.19 100.17 91.42
With the nearest neighbours (Å) after each atom.
Fractional coordinates of all 9 atoms:
Nd1 0.0000 0.0000 0.0000  3 O 2.24-2.34
Re1 0.7587 0.6480 0.3229  6 O 1.81-2.00
Ag1 0.3251 0.3513 0.6957  4 O 2.09-2.31
O1 0.0058 0.3691 0.3895  1 Re 2.00, 1 Ag 2.09, 1 Nd 2.24
O2 0.0535 0.9379 0.5761  1 Re 1.89
O3 0.5194 0.2935 0.0496  1 Re 1.99, 1 Ag 2.19
O4 0.5219 0.8684 0.2213  1 Re 1.81
O5 0.5926 0.6654 0.6083  1 Re 1.87
O6 0.9785 0.5910 0.0521  1 Re 1.89

***

## NdAgRu2O8 (PBE)

Data for NdAgRu2O8 after structural relaxation.

Properties
VASP energy   -6.62 eV per atom
Raw formation energy   -1.137 eV per atom

Lattice parameters (Å, degrees): 6.0864 6.0864 6.7508 90.00 90.00 120.00
With the nearest neighbours (Å) after each atom.
Fractional coordinates of all 12 atoms:
Nd1 0.0000 0.0000 0.0000  6 O 2.36
Ag1 0.0000 0.0000 0.5000  6 O 2.58
Ru1 0.3333 0.6667 0.3138  4 O 1.74-1.82
Ru2 0.6667 0.3333 0.6862  4 O 1.74-1.82
O1 0.1706 0.3412 0.2253  1 Ru 1.82
O2 0.1706 0.8294 0.2253  1 Ru 1.82
O3 0.3333 0.6667 0.5711  1 Ru 1.74
O4 0.3412 0.1706 0.7747  1 Ru 1.82
O5 0.6588 0.8294 0.2253  1 Ru 1.82
O6 0.6667 0.3333 0.4289  1 Ru 1.74
O7 0.8294 0.1706 0.7747  1 Ru 1.82
O8 0.8294 0.6588 0.7747  1 Ru 1.82

***

The lowest raw formation energy belongs to which entry? Nd2PuAgO8

***

What is the formula in the fifth record? Nd2AgPtO6

***

Which formula does entry 9 have? RbNdAgO2

***

raw formation energy of number 11 (NdReAgO6)? -1.617 eV per atom